No. 1
First-principles (PBEsol) data for crystalline MoW2Au at its relaxed geometry, as listed in Alexandria via LeMat-Bulk.

Properties
crystal system = tetragonal
energy above the most stable polymorph in this dataset = 18.9 kJ per mole of atoms

Lattice parameters (Å, degrees): 2.6720 2.6720 8.9090 90.00 90.00 90.00
Positions (direct):
Mo 0.0000 0.0000 0.0000
W 0.5000 0.5000 0.2513
W 0.5000 0.5000 0.7487
Au 0.0000 0.0000 0.5000


No. 2
First-principles (PBEsol) data for crystalline MoW2Au at its relaxed geometry, as listed in Alexandria via LeMat-Bulk.

Properties
crystal system = orthorhombic
energy above the most stable polymorph in this dataset = 0.0 kJ per mole of atoms

Lattice parameters (Å, degrees): 2.7147 2.7147 9.0093 90.00 90.00 107.37
Positions (direct):
Mo 0.0000 0.0000 0.0000
W 0.0000 0.0000 0.4847
W 0.5000 0.5000 0.2413
Au 0.5000 0.5000 0.7423


No. 3
First-principles (PBEsol) data for crystalline Mo3WAu at its relaxed geometry, as listed in Alexandria via LeMat-Bulk.

Properties
crystal system = cubic

Lattice parameters (Å, degrees): 4.6450 4.6450 4.6450 90.00 90.00 90.00
Positions (direct):
Mo 0.0000 0.0000 0.5000
Mo 0.0000 0.5000 0.0000
Mo 0.5000 0.0000 0.0000
W 0.0000 0.0000 0.0000
Au 0.5000 0.5000 0.5000


Number 1: calculated volume 63.6 Å³/cell, formation enthalpy at 0 K 379 meV/atom. Number 2: calculated volume 63.4 Å³/cell, formation enthalpy at 0 K 184 meV/atom. Number 3: calculated volume 100.2 Å³/cell, formation enthalpy at 0 K 1859 meV/atom.